KTl6Se4 after structural relaxation, computed with PBE-GGA.

Calculated values
**Energy above the most stable polymorph in this dataset**: 0.030 eV/atom
**Fermi-level density of states**: 4.2 states/eV per cell
**Raw formation energy**: -0.39 eV/atom
**Size of the total moment**: 0.0000 μB per atom

Lattice parameters (Å, degrees): 7.299 7.107 8.798 66.20 65.51 90.01
Positions (direct):
Se (0.845, 0.882, 0.744)
Tl (0.460, 0.858, 0.661)
Se (0.588, 0.116, 0.256)
Tl (0.877, 0.481, 0.662)
Se (0.155, 0.628, 0.257)
Tl (0.122, 0.142, 0.339)
Se (0.412, 0.374, 0.743)
Tl (0.500, 0.000, 0.999)
K (0.000, 0.000, 0.000)
Tl (0.001, 0.500, 0.001)
Tl (0.540, 0.520, 0.338)

=====

KTl3Se3 after structural relaxation, computed with PBE-GGA.

Calculated values
**Energy above the most stable polymorph in this dataset**: 0.215 eV/atom
**Fermi-level density of states**: 17.5 states/eV per cell
**Raw formation energy**: -0.29 eV/atom
**Size of the total moment**: 0.0000 μB per atom

Lattice parameters (Å, degrees): 8.369 8.369 8.369 90.00 90.00 90.00
Positions (direct):
Tl (0.750, 0.000, 0.500)
Tl (0.000, 0.500, 0.250)
Se (0.500, 0.000, 0.250)
Tl (0.500, 0.250, 0.000)
Se (0.000, 0.250, 0.500)
Se (0.750, 0.500, 0.000)
Tl (0.250, 0.000, 0.500)
Se (0.500, 0.000, 0.750)
Se (0.000, 0.750, 0.500)
K (0.500, 0.500, 0.500)
Se (0.250, 0.500, 0.000)
Tl (0.500, 0.750, 0.000)
K (0.000, 0.000, 0.000)
Tl (0.000, 0.500, 0.750)

=====

K2Tl2Se3 after structural relaxation, computed with PBE-GGA.

Calculated values
**Raw formation energy**: -0.70 eV/atom
**Size of the total moment**: 0.0000 μB per atom

Lattice parameters (Å, degrees): 4.575 7.815 8.330 111.57 105.94 90.00
Positions (direct):
Tl (0.836, 0.692, 0.671)
K (0.611, 0.862, 0.222)
Se (0.218, 0.702, 0.435)
Tl (0.164, 0.308, 0.329)
K (0.389, 0.138, 0.778)
Se (0.000, 0.000, 0.000)
Se (0.782, 0.298, 0.565)

=====

K2Tl5Se4 after structural relaxation, computed with PBE-GGA.

Calculated values
**Fermi-level density of states**: 6.5 states/eV per cell
**Raw formation energy**: -0.52 eV/atom
**Size of the total moment**: 0.0000 μB per atom

Lattice parameters (Å, degrees): 4.394 10.817 9.285 120.50 103.72 89.93
Positions (direct):
Se (0.877, 0.037, 0.757)
Tl (0.852, 0.652, 0.704)
Se (0.338, 0.449, 0.676)
Tl (0.148, 0.348, 0.296)
Se (0.662, 0.551, 0.324)
Tl (0.247, 0.839, 0.495)
K (0.451, 0.295, 0.906)
Se (0.123, 0.963, 0.243)
Tl (0.500, 0.000, 0.000)
Tl (0.753, 0.161, 0.505)
K (0.549, 0.705, 0.094)

=====

KTl2Se after structural relaxation, computed with PBE-GGA.

Calculated values
**Energy above the most stable polymorph in this dataset**: 0.179 eV/atom
**Fermi-level density of states**: 1.8 states/eV per cell
**Raw formation energy**: -0.31 eV/atom
**Size of the total moment**: 0.0000 μB per atom

Lattice parameters (Å, degrees): 4.160 4.160 7.481 90.00 90.00 89.96
Positions (direct):
Tl (0.000, 0.000, 0.549)
K (0.500, 0.500, 0.250)
Tl (0.000, 0.000, 0.951)
Se (0.500, 0.500, 0.750)

=====

KTlSe2 after structural relaxation, computed with PBE-GGA.

Calculated values
**Energy above the most stable polymorph in this dataset**: 0.208 eV/atom
**Fermi-level density of states**: 2.5 states/eV per cell
**Raw formation energy**: -0.45 eV/atom
**Size of the total moment**: 0.0000 μB per atom

Lattice parameters (Å, degrees): 6.430 6.430 5.944 90.00 90.00 27.24
Positions (direct):
K (0.743, 0.743, 0.875)
Se (0.004, 0.004, 0.875)
Tl (0.499, 0.499, 0.375)
Se (0.254, 0.254, 0.375)

=====

KTl3Se after structural relaxation, computed with PBE-GGA.

Calculated values
**Energy above the most stable polymorph in this dataset**: 0.607 eV/atom
**Fermi-level density of states**: 2.3 states/eV per cell
**Raw formation energy**: 0.58 eV/atom
**Size of the total moment**: 0.0000 μB per atom

Lattice parameters (Å, degrees): 6.110 6.110 6.110 90.00 90.00 90.00
Positions (direct):
K (0.000, 0.000, 0.000)
Tl (0.000, 0.500, 0.000)
Tl (0.500, 0.000, 0.000)
Tl (0.000, 0.000, 0.500)
Se (0.500, 0.500, 0.500)

=====

K5Tl2Se4 after structural relaxation, computed with PBE-GGA.

Calculated values
**Energy above the most stable polymorph in this dataset**: 0.000 eV/atom
**Fermi-level density of states**: 1.3 states/eV per cell
**Raw formation energy**: -0.85 eV/atom
**Size of the total moment**: 0.0000 μB per atom

Lattice parameters (Å, degrees): 5.093 9.504 9.641 105.25 105.32 90.00
Positions (direct):
Se (0.994, 0.231, 0.988)
Se (0.708, 0.723, 0.415)
Tl (0.453, 0.344, 0.905)
K (0.841, 0.527, 0.683)
Se (0.292, 0.277, 0.585)
K (0.179, 0.919, 0.359)
Tl (0.547, 0.656, 0.095)
K (0.500, 0.000, 0.000)
K (0.159, 0.473, 0.317)
Se (0.006, 0.769, 0.012)
K (0.821, 0.081, 0.641)

=====

K5Tl2Se4 after structural relaxation, computed with PBE-GGA.

Calculated values
**Energy above the most stable polymorph in this dataset**: 0.047 eV/atom
**Fermi-level density of states**: 5.5 states/eV per cell
**Raw formation energy**: -0.80 eV/atom
**Size of the total moment**: 0.0000 μB per atom

Lattice parameters (Å, degrees): 4.816 8.593 10.511 87.93 103.24 90.00
Positions (direct):
Se (0.099, 0.086, 0.198)
K (0.054, 0.718, 0.107)
Se (0.648, 0.644, 0.297)
K (0.500, 0.000, 0.000)
K (0.811, 0.612, 0.622)
Se (0.352, 0.356, 0.703)
Se (0.901, 0.914, 0.802)
K (0.189, 0.388, 0.378)
Tl (0.683, 0.965, 0.365)
Tl (0.317, 0.035, 0.635)
K (0.946, 0.282, 0.893)

=====

KTl4Se after structural relaxation, computed with PBE-GGA.

Calculated values
**Fermi-level density of states**: 3.0 states/eV per cell
**Raw formation energy**: -0.08 eV/atom
**Size of the total moment**: 0.0000 μB per atom

Lattice parameters (Å, degrees): 6.543 6.543 6.543 60.00 60.00 60.00
Positions (direct):
K (0.750, 0.750, 0.750)
Tl (0.374, 0.374, 0.374)
Tl (0.374, 0.374, 0.877)
Se (0.000, 0.000, 0.000)
Tl (0.374, 0.877, 0.374)
Tl (0.877, 0.374, 0.374)

=====

KTl2Se after structural relaxation, computed with PBE-GGA.

Calculated values
**Energy above the most stable polymorph in this dataset**: 0.124 eV/atom
**Fermi-level density of states**: 2.5 states/eV per cell
**Raw formation energy**: -0.36 eV/atom
**Size of the total moment**: 0.0000 μB per atom

Lattice parameters (Å, degrees): 6.114 6.114 6.114 132.21 132.21 69.90
Positions (direct):
Tl (0.250, 0.750, 0.500)
Se (0.750, 0.250, 0.500)
Tl (0.000, 0.000, 0.000)
K (0.500, 0.500, 0.000)

=====

KTlSe2 after structural relaxation, computed with PBE-GGA.

Calculated values
**Energy above the most stable polymorph in this dataset**: 0.201 eV/atom
**Fermi-level density of states**: 0.0 states/eV per cell
**Raw formation energy**: -0.45 eV/atom
**Size of the total moment**: 0.0000 μB per atom

Lattice parameters (Å, degrees): 8.289 8.289 8.289 37.89 37.89 37.89
Positions (direct):
Se (0.106, 0.106, 0.106)
K (0.500, 0.500, 0.500)
Tl (0.000, 0.000, 0.000)
Se (0.894, 0.894, 0.894)

=====

> Look up the raw formation energy of the eleventh one.

-0.36 eV/atom